{
  "formula": "BaNb2TlIn",
  "functional": "PBE-GGA",
  "state": "relaxed",
  "formation_energy_ev_per_atom": 1.28,
  "magnetic_moment_mub_per_cell": 5.27,
  "e_tot_ev_per_atom": -4.1493,
  "cell": [[5.486, 0.000, 0.000], [0.000, 5.486, 0.000], [0.000, 0.000, 5.646]],
  "species": ["Ba", "Nb", "Nb", "Tl", "In"],
  "frac_coords": [[0.000, 0.000, 0.000], [0.000, 0.500, 0.500], [0.500, 0.000, 0.500], [0.500, 0.500, 0.500], [0.500, 0.500, 0.000]]
}